A relaxed structure of NbZnAg2Sn, computed with PBE.

a b c (Å): 5.008 4.869 5.008
angles (deg): 90.00 90.00 90.00
Atoms (fractional coordinates):
Zn  0.000  0.500  0.000
Nb  0.500  0.500  0.500
Sn  0.000  0.000  0.000
Ag  0.000  0.000  0.500
Ag  0.500  0.000  0.000

Calculated values
* uncorrected energy: -14.729 eV per cell
* density: 6.699 g/cm³
* N(E_F): 1.0336 states/eV/atom
* energy relative to the elements: 1.26 eV per atom

---

A relaxed structure of SrNbAg, computed with PBE.

a b c (Å): 5.298 5.298 6.358
angles (deg): 90.00 90.00 120.00
Each line ends with the local moment (μB).
Atoms (fractional coordinates):
Sr  0.333  0.667  0.250  0.16
Sr  0.667  0.333  0.750  0.16
Nb  0.333  0.667  0.750  2.21
Nb  0.667  0.333  0.250  2.21
Ag  0.000  0.000  0.000  0.04
Ag  0.000  0.000  0.500  0.04

Calculated values
* uncorrected energy: -22.778 eV per cell
* density: 6.197 g/cm³
* N(E_F): 0.9822 states/eV/atom
* energy relative to the elements: 1.07 eV per atom
* energy above the lowest structure with this stoichiometry: 908 meV per atom

---

A relaxed structure of SrNbAg, computed with PBE.

a b c (Å): 3.470 6.466 7.305
angles (deg): 93.85 76.26 89.98
Atoms (fractional coordinates):
Sr  0.717  0.603  0.088
Sr  0.073  0.107  0.375
Nb  0.805  0.092  0.913
Nb  0.393  0.853  0.735
Ag  0.017  0.604  0.487
Ag  0.400  0.368  0.722

Calculated values
* uncorrected energy: -27.118 eV per cell
* density: 6.030 g/cm³
* N(E_F): 0.9022 states/eV/atom
* energy relative to the elements: 0.35 eV per atom
* energy above the lowest structure with this stoichiometry: 185 meV per atom

---

Please write out number 1 again, unchanged.
A relaxed structure of NbZnAg2Sn, computed with PBE.

a b c (Å): 5.008 4.869 5.008
angles (deg): 90.00 90.00 90.00
Atoms (fractional coordinates):
Zn  0.000  0.500  0.000
Nb  0.500  0.500  0.500
Sn  0.000  0.000  0.000
Ag  0.000  0.000  0.500
Ag  0.500  0.000  0.000

Calculated values
* uncorrected energy: -14.729 eV per cell
* density: 6.699 g/cm³
* N(E_F): 1.0336 states/eV/atom
* energy relative to the elements: 1.26 eV per atom

---

Please write out number 1 again, unchanged.
A relaxed structure of NbZnAg2Sn, computed with PBE.

a b c (Å): 5.008 4.869 5.008
angles (deg): 90.00 90.00 90.00
Atoms (fractional coordinates):
Zn  0.000  0.500  0.000
Nb  0.500  0.500  0.500
Sn  0.000  0.000  0.000
Ag  0.000  0.000  0.500
Ag  0.500  0.000  0.000

Calculated values
* uncorrected energy: -14.729 eV per cell
* density: 6.699 g/cm³
* N(E_F): 1.0336 states/eV/atom
* energy relative to the elements: 1.26 eV per atom